(1)
# SrZr2Pt, relaxed, DFT PBE
# Energy of formation ... 0.5 eV/f.u.
# Symmetry ... F-43m (216)
data_SrZr2Pt
_chemical_formula_sum 'Sr1 Zr2 Pt1'
_symmetry_space_group_name_H-M 'P 1'
_symmetry_Int_Tables_number 1
_symmetry_space_group_name_Hall 'P 1'
_cell_length_a 5.0917
_cell_length_b 5.0917
_cell_length_c 5.0917
_cell_angle_alpha 60.00
_cell_angle_beta 60.00
_cell_angle_gamma 60.00
loop_
_atom_site_label
_atom_site_fract_x
_atom_site_fract_y
_atom_site_fract_z
Sr1 0.0000 0.0000 0.0000
Zr1 0.2500 0.2500 0.2500
Zr2 0.5000 0.5000 0.5000
Pt1 0.7500 0.7500 0.7500

=====

(2)
# SrNiN4, relaxed, DFT PBE
# Symmetry ... P-1 (2)
# Formation energy (no corrections) ... -0.0961 eV/atom
data_SrNiN4
_chemical_formula_sum 'Sr2 Ni2 N8'
_symmetry_space_group_name_H-M 'P 1'
_symmetry_Int_Tables_number 1
_symmetry_space_group_name_Hall 'P 1'
_cell_length_a 4.6379
_cell_length_b 6.4476
_cell_length_c 6.7667
_cell_angle_alpha 82.02
_cell_angle_beta 70.12
_cell_angle_gamma 89.65
loop_
_atom_site_label
_atom_site_fract_x
_atom_site_fract_y
_atom_site_fract_z
Sr1 0.1933 0.2272 0.1138
Sr2 0.8067 0.7728 0.8862
Ni1 0.0000 0.5000 0.5000
Ni2 0.5000 0.0000 0.5000
N1 0.1306 0.0004 0.5003
N2 0.2043 0.6351 0.0930
N3 0.2108 0.8227 0.0802
N4 0.3741 0.4990 0.5001
N5 0.6259 0.5010 0.4999
N6 0.7892 0.1773 0.9198
N7 0.7957 0.3649 0.9070
N8 0.8694 0.9996 0.4997

=====

(3)
# TiPb4N4, relaxed, DFT PBE
# Symmetry ... C2/c (15)
# Formation energy (no corrections) ... 0.0524 eV/atom
data_TiPb4N4
_chemical_formula_sum 'Ti2 Pb8 N8'
_symmetry_space_group_name_H-M 'P 1'
_symmetry_Int_Tables_number 1
_symmetry_space_group_name_Hall 'P 1'
_cell_length_a 6.9002
_cell_length_b 6.9002
_cell_length_c 9.7787
_cell_angle_alpha 111.28
_cell_angle_beta 111.28
_cell_angle_gamma 81.08
loop_
_atom_site_label
_atom_site_fract_x
_atom_site_fract_y
_atom_site_fract_z
Ti1 0.2264 0.7736 0.7500
Ti2 0.7736 0.2264 0.2500
Pb1 0.0514 0.6413 0.3936
Pb2 0.2893 0.4170 0.0302
Pb3 0.3587 0.9486 0.1064
Pb4 0.4170 0.2893 0.5302
Pb5 0.5830 0.7107 0.4698
Pb6 0.6413 0.0514 0.8936
Pb7 0.7107 0.5830 0.9698
Pb8 0.9486 0.3587 0.6064
N1 0.0578 0.2898 0.3838
N2 0.2898 0.0578 0.8838
N3 0.3342 0.6179 0.8942
N4 0.3821 0.6658 0.6058
N5 0.6179 0.3342 0.3942
N6 0.6658 0.3821 0.1058
N7 0.7102 0.9422 0.1162
N8 0.9422 0.7102 0.6162

=====

(4)
# Cs2Ni3S4, relaxed, DFT PBE
# Symmetry ... P6_3/mmc (194)
# Formation energy (no corrections) ... -0.7469 eV/atom
data_Cs2Ni3S4
_chemical_formula_sum 'Cs4 Ni6 S8'
_symmetry_space_group_name_H-M 'P 1'
_symmetry_Int_Tables_number 1
_symmetry_space_group_name_Hall 'P 1'
_cell_length_a 5.9002
_cell_length_b 5.9002
_cell_length_c 15.3708
_cell_angle_alpha 90.00
_cell_angle_beta 90.00
_cell_angle_gamma 120.00
loop_
_atom_site_label
_atom_site_fract_x
_atom_site_fract_y
_atom_site_fract_z
Cs1 0.3333 0.6667 0.0921
Cs2 0.3333 0.6667 0.4079
Cs3 0.6667 0.3333 0.5921
Cs4 0.6667 0.3333 0.9079
Ni1 0.1666 0.3331 0.7500
Ni2 0.1666 0.8334 0.7500
Ni3 0.3331 0.1666 0.2500
Ni4 0.6669 0.8334 0.7500
Ni5 0.8334 0.1666 0.2500
Ni6 0.8334 0.6669 0.2500
S1 0.0000 0.0000 0.1581
S2 0.0000 0.0000 0.3419
S3 0.0000 0.0000 0.6581
S4 0.0000 0.0000 0.8419
S5 0.3333 0.6667 0.6574
S6 0.3333 0.6667 0.8426
S7 0.6667 0.3333 0.1574
S8 0.6667 0.3333 0.3426

=====

(5)
# AcLaZn, relaxed, DFT PBE
# Energy of formation ... -0.5 eV/f.u.
# Symmetry ... I4mm (107)
data_AcLaZn
_chemical_formula_sum 'Ac1 La1 Zn1'
_symmetry_space_group_name_H-M 'P 1'
_symmetry_Int_Tables_number 1
_symmetry_space_group_name_Hall 'P 1'
_cell_length_a 7.0187
_cell_length_b 7.0187
_cell_length_c 7.0187
_cell_angle_alpha 147.77
_cell_angle_beta 147.77
_cell_angle_gamma 46.23
loop_
_atom_site_label
_atom_site_fract_x
_atom_site_fract_y
_atom_site_fract_z
Ac1 0.0000 0.0000 0.0000
La1 0.2846 0.2846 0.0000
Zn1 0.6533 0.6533 0.0000

=====

(6)
# HfZrOs2, relaxed, DFT PBE
# Energy of formation ... 2.7 eV/f.u.
# Symmetry ... Immm (71)
data_HfZrOs2
_chemical_formula_sum 'Hf1 Zr1 Os2'
_symmetry_space_group_name_H-M 'P 1'
_symmetry_Int_Tables_number 1
_symmetry_space_group_name_Hall 'P 1'
_cell_length_a 5.9157
_cell_length_b 5.9157
_cell_length_c 5.9157
_cell_angle_alpha 151.89
_cell_angle_beta 130.21
_cell_angle_gamma 58.16
loop_
_atom_site_label
_atom_site_fract_x
_atom_site_fract_y
_atom_site_fract_z
Hf1 0.0000 0.0000 0.0000
Zr1 0.5000 0.5000 0.0000
Os1 0.2468 0.2468 0.0000
Os2 0.7532 0.7532 0.0000

=====

(7)
# K2BeI4, relaxed, DFT PBE
# Symmetry ... P2_1/m (11)
# Formation energy (no corrections) ... -1.0931 eV/atom
data_K2BeI4
_chemical_formula_sum 'K4 Be2 I8'
_symmetry_space_group_name_H-M 'P 1'
_symmetry_Int_Tables_number 1
_symmetry_space_group_name_Hall 'P 1'
_cell_length_a 7.7696
_cell_length_b 8.0339
_cell_length_c 9.8592
_cell_angle_alpha 90.00
_cell_angle_beta 108.16
_cell_angle_gamma 90.00
loop_
_atom_site_label
_atom_site_fract_x
_atom_site_fract_y
_atom_site_fract_z
K1 0.2132 0.2500 0.0485
K2 0.2753 0.2500 0.5714
K3 0.7247 0.7500 0.4286
K4 0.7868 0.7500 0.9515
Be1 0.2131 0.7500 0.7929
Be2 0.7869 0.2500 0.2071
I1 0.0131 0.5084 0.7380
I2 0.0131 0.9916 0.7380
I3 0.3793 0.7500 0.0466
I4 0.4082 0.7500 0.6413
I5 0.5918 0.2500 0.3587
I6 0.6207 0.2500 0.9534
I7 0.9869 0.0084 0.2620
I8 0.9869 0.4916 0.2620

=====

(8)
# Tb2ZnHPd6, relaxed, DFT PBE
# Symmetry ... P-1 (2)
data_Tb2ZnHPd6
_chemical_formula_sum 'Tb2 Zn1 H1 Pd6'
_symmetry_space_group_name_H-M 'P 1'
_symmetry_Int_Tables_number 1
_symmetry_space_group_name_Hall 'P 1'
_cell_length_a 5.7086
_cell_length_b 5.7163
_cell_length_c 6.8024
_cell_angle_alpha 65.22
_cell_angle_beta 65.24
_cell_angle_gamma 60.11
loop_
_atom_site_label
_atom_site_fract_x
_atom_site_fract_y
_atom_site_fract_z
Tb1 0.2265 0.2289 0.3199
Tb2 0.7735 0.7711 0.6801
Zn1 0.5000 0.5000 0.5000
H1 0.0000 0.0000 0.0000
Pd1 0.2285 0.7280 0.8123
Pd2 0.2298 0.2270 0.8071
Pd3 0.2676 0.7737 0.1904
Pd4 0.7324 0.2263 0.8096
Pd5 0.7702 0.7730 0.1929
Pd6 0.7715 0.2720 0.1877

=====

no.,spin magnetization (μB/f.u.),total DFT energy (no corrections) (Ry per atom)
1,2.6,-0.447
2,0.0,-0.506
3,0.0,-0.454
4,0.0,-0.345
5,0.2,-0.265
6,0.0,-0.703
7,0.0,-0.208
8,0.0,-0.380